1.
Here is an optimized crystal structure of Nd2Pd2Se from Alexandria via LeMat-Bulk. Energies are from GGA-PBE.

Unit cell a=4.3346 b=4.3346 c=8.1427 alpha=90.02 beta=105.40 gamma=120.04
Fractional coordinates of all 5 atoms:
Pd 0.3679 0.1839 0.5518
Nd 0.1703 0.5851 0.7554
Pd 0.6321 0.8161 0.4482
Nd 0.8297 0.4149 0.2446
Se 0.0000 0.0000 0.0000

Summary:
Uncorrected formation energy: -1.13 eV/atom
Magnetization: 0.0 Bohr magnetons per cell
Energy: -5.81 eV/atom



2.
Here is an optimized crystal structure of Nd2PdSe3 from Alexandria via LeMat-Bulk. Energies are from GGA-PBE.

Unit cell a=4.1724 b=8.5033 c=16.5285 alpha=90.00 beta=90.00 gamma=90.00
Fractional coordinates of all 24 atoms:
Se 0.2500 0.5960 0.9263
Se 0.7500 0.4040 0.0737
Se 0.2500 0.4612 0.3967
Se 0.7500 0.6909 0.2157
Se 0.7500 0.9040 0.4263
Se 0.7500 0.1909 0.2843
Se 0.2500 0.8091 0.7157
Pd 0.7500 0.1240 0.1271
Se 0.7500 0.5388 0.6033
Nd 0.2500 0.7231 0.5211
Nd 0.2500 0.9144 0.2851
Nd 0.2500 0.4144 0.2149
Se 0.2500 0.3091 0.7843
Nd 0.7500 0.7769 0.0211
Nd 0.7500 0.2769 0.4789
Se 0.2500 0.9612 0.1033
Nd 0.7500 0.0856 0.7149
Pd 0.7500 0.6240 0.3729
Se 0.7500 0.0388 0.8967
Nd 0.2500 0.2231 0.9789
Nd 0.7500 0.5856 0.7851
Pd 0.2500 0.3760 0.6271
Pd 0.2500 0.8760 0.8729
Se 0.2500 0.0960 0.5737

Summary:
Uncorrected formation energy: -1.53 eV/atom
Magnetization: 0.0 Bohr magnetons per cell
Energy: -5.73 eV/atom



3.
Here is an optimized crystal structure of Nd3Pd5Se12 from Alexandria via LeMat-Bulk. Energies are from GGA-PBE.

Unit cell a=13.7946 b=13.7946 c=13.7946 alpha=109.47 beta=109.47 gamma=109.47
Fractional coordinates of all 80 atoms:
Se 0.3286 0.5336 0.4109
Se 0.4178 0.1228 0.5891
Nd 0.2500 0.6250 0.8750
Se 0.4664 0.6714 0.0891
Se 0.6714 0.4664 0.5891
Nd 0.2500 0.1250 0.3750
Pd 0.5000 0.0000 0.5000
Pd 0.5000 0.0000 0.0000
Se 0.2050 0.5336 0.6228
Se 0.7950 0.3286 0.9178
Se 0.2950 0.8772 0.9664
Pd 0.0000 0.5000 0.5000
Nd 0.6250 0.2500 0.3750
Se 0.9109 0.8286 0.5336
Nd 0.6250 0.3750 0.7500
Se 0.9664 0.3772 0.2950
Se 0.4109 0.0336 0.3286
Se 0.1714 0.0891 0.9664
Se 0.7950 0.4664 0.3772
Nd 0.3750 0.7500 0.6250
Se 0.2950 0.4178 0.8286
Nd 0.1250 0.2500 0.8750
Se 0.4109 0.3772 0.5822
Pd 0.0000 0.0000 0.5000
Se 0.1228 0.7050 0.5336
Se 0.0891 0.1714 0.4664
Nd 0.7500 0.3750 0.1250
Se 0.5822 0.7050 0.6714
Se 0.8286 0.9109 0.0336
Nd 0.8750 0.7500 0.1250
Se 0.7050 0.1228 0.0336
Pd 0.7500 0.1250 0.8750
Se 0.3772 0.4109 0.0822
Se 0.2050 0.6714 0.0822
Se 0.1714 0.0822 0.7050
Se 0.3772 0.9664 0.7950
Pd 0.2500 0.3750 0.6250
Pd 0.8750 0.6250 0.7500
Se 0.5336 0.3286 0.9109
Nd 0.1250 0.8750 0.7500
Se 0.4178 0.2950 0.3286
Pd 0.5000 0.5000 0.5000
Se 0.9664 0.5891 0.1714
Se 0.0336 0.6228 0.7050
Pd 0.8750 0.2500 0.6250
Pd 0.7500 0.6250 0.3750
Pd 0.5000 0.5000 0.0000
Se 0.4664 0.7950 0.8772
Se 0.9178 0.8286 0.7950
Pd 0.2500 0.8750 0.1250
Se 0.5891 0.6228 0.4178
Se 0.6714 0.2050 0.5822
Pd 0.6250 0.7500 0.8750
Se 0.8286 0.9178 0.2950
Se 0.0891 0.9178 0.1228
Se 0.8772 0.5822 0.9109
Nd 0.3750 0.6250 0.2500
Pd 0.1250 0.3750 0.2500
Se 0.7050 0.5822 0.1714
Nd 0.8750 0.1250 0.2500
Se 0.9109 0.0822 0.8772
Se 0.5336 0.2050 0.1228
Pd 0.3750 0.2500 0.1250
Se 0.3286 0.7950 0.4178
Se 0.1228 0.4178 0.0891
Se 0.0822 0.9109 0.3772
Pd 0.0000 0.5000 0.0000
Se 0.9178 0.0891 0.6228
Se 0.8772 0.2950 0.4664
Pd 0.0000 0.0000 0.0000
Se 0.0336 0.4109 0.8286
Se 0.5822 0.8772 0.4109
Se 0.6228 0.0336 0.2050
Pd 0.3750 0.1250 0.7500
Se 0.0822 0.1714 0.2050
Pd 0.6250 0.8750 0.2500
Nd 0.7500 0.8750 0.6250
Pd 0.1250 0.7500 0.3750
Se 0.6228 0.5891 0.9178
Se 0.5891 0.9664 0.6714

Summary:
Uncorrected formation energy: -0.73 eV/atom
Magnetization: 0.0 Bohr magnetons per cell
Energy: -4.83 eV/atom



4.
Here is an optimized crystal structure of Nd2Si7Pd12 from Alexandria via LeMat-Bulk. Energies are from GGA-PBE.

Unit cell a=3.8968 b=10.0450 c=10.0450 alpha=120.00 beta=90.00 gamma=90.00
Fractional coordinates of all 21 atoms:
Pd 0.7512 0.0601 0.4403
Si 0.5000 0.0000 0.0000
Pd 0.2488 0.9399 0.5597
Pd 0.7512 0.5597 0.6198
Pd 0.2488 0.6198 0.0601
Nd 0.7536 0.6667 0.3333
Si 0.7503 0.2895 0.4041
Nd 0.2464 0.3333 0.6667
Pd 0.7500 0.8547 0.1116
Pd 0.7512 0.3802 0.9399
Pd 0.2500 0.7432 0.8547
Pd 0.7500 0.2568 0.1453
Si 0.2497 0.8854 0.2895
Pd 0.2488 0.4403 0.3802
Si 0.7503 0.5959 0.8854
Si 0.2497 0.7105 0.5959
Pd 0.2500 0.1453 0.8884
Si 0.2497 0.4041 0.1146
Si 0.7503 0.1146 0.7105
Pd 0.2500 0.1116 0.2568
Pd 0.7500 0.8884 0.7432

Summary:
Uncorrected formation energy: -0.80 eV/atom
Magnetization: 0.0 Bohr magnetons per cell
Energy: -6.03 eV/atom



5.
Here is an optimized crystal structure of Nd3Si2Pd6 from Alexandria via LeMat-Bulk. Energies are from GGA-PBE.

Unit cell a=8.2308 b=8.2308 c=8.2308 alpha=109.47 beta=109.47 gamma=109.47
Fractional coordinates of all 22 atoms:
Pd 0.6471 0.3236 0.3236
Pd 0.3236 0.6471 0.3236
Pd 0.6764 0.3529 0.6764
Nd 0.2863 0.2863 0.0000
Pd 0.6764 0.3236 0.0000
Nd 0.7137 0.0000 0.7137
Pd 0.0000 0.6764 0.3236
Si 0.0000 0.5000 0.0000
Pd 0.0000 0.3236 0.6764
Pd 0.3236 0.6764 0.0000
Nd 0.7137 0.7137 0.0000
Pd 0.3236 0.3236 0.6471
Si 0.5000 0.5000 0.5000
Nd 0.2863 0.0000 0.2863
Pd 0.6764 0.0000 0.3236
Pd 0.3236 0.0000 0.6764
Nd 0.0000 0.7137 0.7137
Pd 0.6764 0.6764 0.3529
Si 0.0000 0.0000 0.5000
Nd 0.0000 0.2863 0.2863
Pd 0.3529 0.6764 0.6764
Si 0.5000 0.0000 0.0000

Summary:
Uncorrected formation energy: -0.82 eV/atom
Magnetization: 0.0 Bohr magnetons per cell
Energy: -5.94 eV/atom



6.
Here is an optimized crystal structure of NdSi2Pd from Alexandria via LeMat-Bulk. Energies are from GGA-PBE.

Unit cell a=3.9953 b=7.3308 c=10.2904 alpha=90.00 beta=90.00 gamma=90.00
Fractional coordinates of all 16 atoms:
Si 0.7500 0.1691 0.1781
Si 0.2500 0.3309 0.6781
Si 0.7500 0.7135 0.9294
Nd 0.7500 0.1371 0.8700
Pd 0.2500 0.9978 0.6175
Nd 0.2500 0.8629 0.1300
Si 0.2500 0.7865 0.4294
Pd 0.7500 0.5022 0.1175
Nd 0.7500 0.6371 0.6300
Pd 0.2500 0.4978 0.8825
Si 0.2500 0.2865 0.0706
Si 0.7500 0.2135 0.5706
Si 0.7500 0.6691 0.3219
Nd 0.2500 0.3629 0.3700
Si 0.2500 0.8309 0.8219
Pd 0.7500 0.0022 0.3825

Summary:
Uncorrected formation energy: -0.85 eV/atom
Magnetization: 0.0 Bohr magnetons per cell
Energy: -6.05 eV/atom



7.
Here is an optimized crystal structure of Nd2SiPd2 from Alexandria via LeMat-Bulk. Energies are from GGA-PBE.

Unit cell a=4.2023 b=5.7560 c=10.1933 alpha=89.49 beta=78.10 gamma=68.59
Fractional coordinates of all 10 atoms:
Si 0.3823 0.8989 0.3365
Nd 0.0768 0.7323 0.1141
Pd 0.3627 0.1519 0.1228
Pd 0.1266 0.1981 0.5487
Nd 0.6646 0.3362 0.3346
Pd 0.8734 0.8019 0.4513
Nd 0.9232 0.2677 0.8859
Pd 0.6373 0.8481 0.8772
Nd 0.3354 0.6638 0.6654
Si 0.6177 0.1011 0.6635

Summary:
Uncorrected formation energy: -0.82 eV/atom
Magnetization: 0.0 Bohr magnetons per cell
Energy: -5.89 eV/atom



8.
Here is an optimized crystal structure of NdSiPd2 from Alexandria via LeMat-Bulk. Energies are from GGA-PBE.

Unit cell a=5.6888 b=6.9847 c=7.5668 alpha=90.00 beta=90.00 gamma=90.00
Fractional coordinates of all 16 atoms:
Si 0.8544 0.2500 0.3755
Pd 0.5935 0.4474 0.1743
Si 0.3544 0.7500 0.1245
Nd 0.6427 0.7500 0.4702
Pd 0.0935 0.5526 0.3257
Si 0.1456 0.7500 0.6245
Pd 0.4065 0.9474 0.8257
Nd 0.8573 0.7500 0.9702
Pd 0.0935 0.9474 0.3257
Pd 0.9065 0.4474 0.6743
Nd 0.3573 0.2500 0.5298
Nd 0.1427 0.2500 0.0298
Pd 0.4065 0.5526 0.8257
Si 0.6456 0.2500 0.8755
Pd 0.9065 0.0526 0.6743
Pd 0.5935 0.0526 0.1743

Summary:
Uncorrected formation energy: -0.91 eV/atom
Magnetization: 0.0 Bohr magnetons per cell
Energy: -6.05 eV/atom



9.
Here is an optimized crystal structure of NdSi2Pd9 from Alexandria via LeMat-Bulk. Energies are from GGA-PBE.

Unit cell a=6.6798 b=8.3748 c=8.3748 alpha=80.85 beta=66.50 gamma=66.50
Fractional coordinates of all 24 atoms:
Si 0.8750 0.2500 0.7500
Pd 0.1352 0.1846 0.4310
Pd 0.7508 0.8154 0.5690
Nd 0.2500 0.5000 0.5000
Pd 0.3162 0.0690 0.6846
Pd 0.0698 0.9310 0.3154
Pd 0.6802 0.5690 0.1846
Pd 0.0698 0.3154 0.9310
Pd 0.6802 0.1846 0.5690
Si 0.3750 0.7500 0.7500
Pd 0.3162 0.6846 0.0690
Nd 0.5000 0.0000 0.0000
Pd 0.4338 0.8154 0.4310
Si 0.8750 0.7500 0.2500
Pd 0.6148 0.0690 0.3154
Si 0.8750 0.2500 0.2500
Pd 0.1352 0.4310 0.1846
Pd 0.9992 0.9310 0.6846
Pd 0.6148 0.3154 0.0690
Pd 0.7508 0.5690 0.8154
Pd 0.9992 0.6846 0.9310
Pd 0.0000 0.0000 0.0000
Pd 0.7500 0.5000 0.5000
Pd 0.4338 0.4310 0.8154

Summary:
Uncorrected formation energy: -0.58 eV/atom
Magnetization: 0.0 Bohr magnetons per cell
Energy: -5.77 eV/atom



Copy entry 1 word for word.
Here is an optimized crystal structure of Nd2Pd2Se from Alexandria via LeMat-Bulk. Energies are from GGA-PBE.

Unit cell a=4.3346 b=4.3346 c=8.1427 alpha=90.02 beta=105.40 gamma=120.04
Fractional coordinates of all 5 atoms:
Pd 0.3679 0.1839 0.5518
Nd 0.1703 0.5851 0.7554
Pd 0.6321 0.8161 0.4482
Nd 0.8297 0.4149 0.2446
Se 0.0000 0.0000 0.0000

Summary:
Uncorrected formation energy: -1.13 eV/atom
Magnetization: 0.0 Bohr magnetons per cell
Energy: -5.81 eV/atom



The highest uncorrected formation energy belongs to which entry? NdSi2Pd9



Repeat the eighth record exactly.
Here is an optimized crystal structure of NdSiPd2 from Alexandria via LeMat-Bulk. Energies are from GGA-PBE.

Unit cell a=5.6888 b=6.9847 c=7.5668 alpha=90.00 beta=90.00 gamma=90.00
Fractional coordinates of all 16 atoms:
Si 0.8544 0.2500 0.3755
Pd 0.5935 0.4474 0.1743
Si 0.3544 0.7500 0.1245
Nd 0.6427 0.7500 0.4702
Pd 0.0935 0.5526 0.3257
Si 0.1456 0.7500 0.6245
Pd 0.4065 0.9474 0.8257
Nd 0.8573 0.7500 0.9702
Pd 0.0935 0.9474 0.3257
Pd 0.9065 0.4474 0.6743
Nd 0.3573 0.2500 0.5298
Nd 0.1427 0.2500 0.0298
Pd 0.4065 0.5526 0.8257
Si 0.6456 0.2500 0.8755
Pd 0.9065 0.0526 0.6743
Pd 0.5935 0.0526 0.1743

Summary:
Uncorrected formation energy: -0.91 eV/atom
Magnetization: 0.0 Bohr magnetons per cell
Energy: -6.05 eV/atom